Compound: Zn2InCo2
Source: Alexandria via LeMat-Bulk
Functional: PBE
Structure: relaxed

Output
- density of states at the Fermi level (states/eV/cell) = 6.31
- energy above the lowest structure with this stoichiometry (meV per atom) = 109
- space-group type = I4/mmm
- calculated density (g/cm³) = 8.0
- calculated formation energy (eV/f.u.) = 1.14
- energy (eV/cell) = -18.35

Lattice parameters (Å, degrees): 6.383 6.383 6.383 147.25 147.25 47.00
Positions (direct):
Zn  0.250  0.750  0.500
Zn  0.750  0.250  0.500
In  0.000  0.000  0.000
Co  0.402  0.402  0.000
Co  0.598  0.598  0.000